[1]
! Ca4AcSi4 | Alexandria | PBE-GGA | optimized geometry; values from VASP
&SYSTEM
  ibrav = 0, nat = 18, ntyp = 3
/
ATOMIC_SPECIES
Ca 40.08 Ca.upf
Ac 227.00 Ac.upf
Si 28.09 Si.upf
CELL_PARAMETERS angstrom
9.5450 0.0000 0.0000
0.0000 9.5450 0.0000
0.0000 0.0000 5.9303
ATOMIC_POSITIONS crystal
Ca 0.0907 0.6451 0.1220
Ca 0.1451 0.9093 0.6220
Ca 0.3549 0.5907 0.6220
Ca 0.4093 0.8549 0.1220
Ca 0.5907 0.1451 0.8780
Ca 0.6451 0.4093 0.3780
Ca 0.8549 0.0907 0.3780
Ca 0.9093 0.3549 0.8780
Ac 0.2500 0.2500 0.2500
Ac 0.7500 0.7500 0.7500
Si 0.0324 0.5997 0.6140
Si 0.0997 0.9676 0.1140
Si 0.4003 0.5324 0.1140
Si 0.4676 0.9003 0.6140
Si 0.5324 0.0997 0.3860
Si 0.5997 0.4676 0.8860
Si 0.9003 0.0324 0.8860
Si 0.9676 0.4003 0.3860
! E_form (uncorrected), eV per atom: -0.303
! Crystal system: tetragonal
! V, A^3/atom: 30.02
! Total magnetic moment, μB/f.u.: 0.0


[2]
! ZrScAu2 | Alexandria | PBE-GGA | optimized geometry; values from VASP
&SYSTEM
  ibrav = 0, nat = 8, ntyp = 3
/
ATOMIC_SPECIES
Zr 91.22 Zr.upf
Sc 44.96 Sc.upf
Au 196.97 Au.upf
CELL_PARAMETERS angstrom
-3.6568 3.6568 3.4163
3.6568 -3.6568 3.4163
3.6568 3.6568 -3.4163
ATOMIC_POSITIONS crystal
Zr 0.0000 0.0000 0.0000
Zr 0.7500 0.2500 0.5000
Sc 0.2500 0.7500 0.5000
Sc 0.5000 0.5000 0.0000
Au 0.1279 0.1250 0.5029
Au 0.3750 0.8721 0.9971
Au 0.6221 0.6250 0.4971
Au 0.8750 0.3779 0.0029
! E_form, eV per atom: -0.20
! Crystal system: tetragonal
! V, A^3/atom: 22.84
! Total magnetic moment, μB/f.u.: 0.0


[3]
! GdYPuIn | Alexandria | PBE-GGA | optimized geometry; values from VASP
&SYSTEM
  ibrav = 0, nat = 4, ntyp = 4
/
ATOMIC_SPECIES
Gd 157.25 Gd.upf
Y 88.91 Y.upf
Pu 244.00 Pu.upf
In 114.82 In.upf
CELL_PARAMETERS angstrom
0.0000 3.8328 3.8328
3.8328 0.0000 3.8328
3.8328 3.8328 0.0000
ATOMIC_POSITIONS crystal
Gd 0.0000 0.0000 0.0000
Y 0.5000 0.5000 0.5000
Pu 0.2500 0.2500 0.2500
In 0.7500 0.7500 0.7500
! E_form, eV per atom: -0.06
! Crystal system: cubic
! V, A^3/atom: 28.15
! Total magnetic moment, μB/f.u.: 0.9


[4]
! ScMoSe2 | Alexandria | PBE-GGA | optimized geometry; values from VASP
&SYSTEM
  ibrav = 0, nat = 4, ntyp = 3
/
ATOMIC_SPECIES
Sc 44.96 Sc.upf
Mo 95.94 Mo.upf
Se 78.96 Se.upf
CELL_PARAMETERS angstrom
1.6594 0.9581 8.8231
-1.6594 0.9581 8.8231
0.0000 -1.9161 8.8231
ATOMIC_POSITIONS crystal
Sc 0.0000 0.0000 0.0000
Mo 0.5000 0.5000 0.5000
Se 0.1014 0.1014 0.1014
Se 0.8986 0.8986 0.8986
! E_form (uncorrected), eV per atom: -0.334
! Crystal system: trigonal
! V, A^3/atom: 21.04
! Total magnetic moment, μB/f.u.: 0.0


[5]
! Sc8Ag2Os | Alexandria | PBE-GGA | optimized geometry; values from VASP
&SYSTEM
  ibrav = 0, nat = 11, ntyp = 3
/
ATOMIC_SPECIES
Sc 44.96 Sc.upf
Ag 107.87 Ag.upf
Os 190.23 Os.upf
CELL_PARAMETERS angstrom
7.9992 -2.4329 0.0000
7.9992 2.4329 0.0000
-2.2002 0.0000 6.1073
ATOMIC_POSITIONS crystal
Sc 0.0255 0.0255 0.2957
Sc 0.1922 0.1922 0.7844
Sc 0.3388 0.3388 0.5418
Sc 0.4049 0.4049 0.0689
Sc 0.5951 0.5951 0.9311
Sc 0.6612 0.6612 0.4582
Sc 0.8078 0.8078 0.2156
Sc 0.9745 0.9745 0.7043
Ag 0.1819 0.1819 0.1957
Ag 0.8181 0.8181 0.8043
Os 0.5000 0.5000 0.5000
! E_form, eV per atom: -0.24
! Crystal system: monoclinic
! V, A^3/atom: 21.61
! Total magnetic moment, μB/f.u.: 0.0